No. 1
Y2TmScO6 after structural relaxation, computed with GGA-PBE.

The structure in POSCAR format:
```
Y2TmScO6
1.0
-2.102 1.866 -4.943
1.550 -2.491 -4.870
-3.967 -3.372 -2.857
Y Tm Sc O
2 1 1 6
Direct
0.528 0.528 0.415
0.027 0.027 0.919
0.809 0.809 0.572
0.312 0.312 0.063
0.601 0.200 0.254
0.200 0.945 0.254
0.945 0.601 0.254
0.429 0.693 0.761
0.693 0.117 0.761
0.117 0.429 0.761
```

***

No. 2
TmScZnO4 after structural relaxation, computed with GGA-PBE.

The structure in POSCAR format:
```
TmScZnO4
1.0
-3.008 0.183 5.530
-4.126 -4.632 1.495
1.554 -4.174 4.569
Tm Sc Zn O
2 2 2 8
Direct
0.000 0.000 0.000
0.000 0.500 0.500
0.500 0.000 0.500
0.000 0.000 0.500
0.622 0.628 0.128
0.378 0.372 0.872
0.753 0.769 0.724
0.247 0.776 0.731
0.753 0.224 0.269
0.247 0.231 0.276
0.227 0.763 0.263
0.747 0.763 0.263
0.253 0.237 0.737
0.773 0.237 0.737
```

***

Computed raw formation energy, in the same sequence as the records: -3.53 -2.89 eV per atom.
Computed density, in the same sequence as the records: 5.85 6.20 g cm⁻³.
Computed size of the total moment, in the same sequence as the records: 0.0 0.0 μB/cell.